A plane-wave DFT calculation with PBE with a Hubbard U was carried out for a relaxed structure of CsMnSe2O8.

Theoretical density ... 3.72 g/cm3
Size of the total moment ... 12.00 μB per cell
Fermi-level density of states ... 0.5070 states/eV/atom
V ... 634.2 Å³/cell
Uncorrected energy ... -5.610 eV/atom

abc: 5.1269 5.1269 27.8624
angles: 90.00 90.00 120.00
Space group R-3 (No. 148, hexagonal axes)
Asymmetric unit:
Cs  0.0000  0.0000  0.0000 (multiplicity 3)
Mn  0.0000  0.0000  0.5000 (multiplicity 3)
Se  0.0000  0.0000  0.2297 (multiplicity 6)
O  0.0000  0.0000  0.2890 (multiplicity 6)
O  0.0075  0.3695  0.8772 (multiplicity 18)